First-principles (PBE-GGA) data for a geometry-optimized Na2B3C structure, as listed in Alexandria.

Properties
For the total DFT energy (no corrections), the calculation gives -308.930 eV per cell. For the formation energy, the calculation gives 167 meV/atom. Its magnetization is 0.00 μB/cell.

CIF file:
```
data_Na2B3C
_chemical_formula_sum 'Na20 B30 C10'
_cell_length_a 17.922
_cell_length_b 2.846
_cell_length_c 13.486
_cell_angle_alpha 90.00
_cell_angle_beta 112.96
_cell_angle_gamma 90.00
_symmetry_space_group_name_H-M 'C 1 m 1'
_symmetry_Int_Tables_number 8
loop_
_symmetry_equiv_pos_as_xyz
'x,y,z'
'x,-y,z'
'x+1/2,y+1/2,z'
'x+1/2,-y+1/2,z'
loop_
_atom_site_label
_atom_site_fract_x
_atom_site_fract_y
_atom_site_fract_z
_atom_site_occupancy
Na1 0.000 0.000 0.000 1
Na2 0.000 0.000 0.497 1
Na3 0.099 0.500 0.199 1
Na4 0.102 0.500 0.698 1
Na5 0.198 0.000 0.399 1
Na6 0.202 0.000 0.900 1
Na7 0.298 0.500 0.600 1
Na8 0.302 0.500 0.100 1
Na9 0.400 0.000 0.800 1
Na10 0.402 0.000 0.298 1
B1 0.030 0.000 0.310 1
B2 0.030 0.000 0.808 1
B3 0.069 0.500 0.885 1
B4 0.127 0.500 0.502 1
B5 0.132 0.500 0.012 1
B6 0.168 0.000 0.583 1
B7 0.173 0.000 0.094 1
B8 0.235 0.000 0.219 1
B9 0.241 0.000 0.729 1
B10 0.275 0.500 0.298 1
B11 0.338 0.500 0.923 1
B12 0.363 0.000 0.474 1
B13 0.428 0.000 0.606 1
B14 0.434 0.000 0.117 1
B15 0.465 0.500 0.678 1
C1 0.063 0.500 0.375 1
C2 0.272 0.500 0.792 1
C3 0.335 0.500 0.417 1
C4 0.369 0.000 0.987 1
C5 0.466 0.500 0.181 1
```